No. 1
A relaxed structure of La2Co2Re. Source: the Alexandria database, functional GGA-PBE.

Summary:
- excess energy over the best structure of this formula in the dataset (eV per atom) = 0.165
- DFT formation energy (meV/atom) = 373
- symmetry = I4/mmm, No. 139
- final energy (eV per atom) = -6.93

Unit cell a=5.2586 b=5.2586 c=5.2586 alpha=116.10 beta=116.10 gamma=96.90
With the nearest neighbours (Å) after each atom.
Element x y z (fractional)
La (0.2500, 0.7500, 0.5000)  4 Co 2.84
La (0.7500, 0.2500, 0.5000)  4 Co 2.84
Co (0.1702, 0.1702, 0.0000)  1 Re 2.30, 1 Co 2.37
Co (0.8298, 0.8298, 0.0000)  1 Re 2.30, 1 Co 2.37
Re (0.5000, 0.5000, 0.0000)  2 Co 2.30

***

No. 2
A relaxed structure of La2CoRe. Source: the Alexandria database, functional GGA-PBE.

Summary:
- excess energy over the best structure of this formula in the dataset (eV per atom) = 0.000
- DFT formation energy (meV/atom) = 65
- symmetry = R3m, No. 160
- final energy (eV per atom) = -7.29

Unit cell a=7.7965 b=7.7965 c=7.7965 alpha=30.62 beta=30.62 gamma=30.62
With the nearest neighbours (Å) after each atom.
Element x y z (fractional)
La (0.0000, 0.0000, 0.0000)  3 Re 3.02, 3 Co 3.20
La (0.1791, 0.1791, 0.1791)  3 Co 3.01, 3 Re 3.19
Co (0.7626, 0.7626, 0.7626)  3 Re 2.39
Re (0.4168, 0.4168, 0.4168)  3 Co 2.39

***

No. 3
A relaxed structure of LaCoRe4. Source: the Alexandria database, functional GGA-PBE.

Summary:
- DFT formation energy (meV/atom) = 539
- symmetry = F-43m, No. 216
- final energy (eV per atom) = -9.77

Unit cell a=5.3557 b=5.3557 c=5.3557 alpha=60.00 beta=60.00 gamma=60.00
With the nearest neighbours (Å) after each atom.
Element x y z (fractional)
La (0.0000, 0.0000, 0.0000)  12 Re 3.14, 4 Co 3.28
Co (0.2500, 0.2500, 0.2500)  12 Re 3.14, 4 La 3.28
Re (0.1266, 0.6245, 0.6245)  6 Re 2.67-2.69
Re (0.6245, 0.1266, 0.6245)  6 Re 2.67-2.69
Re (0.6245, 0.6245, 0.1266)  6 Re 2.67-2.69
Re (0.6245, 0.6245, 0.6245)  6 Re 2.67-2.69

***

No. 4
A relaxed structure of LaCo4Re. Source: the Alexandria database, functional GGA-PBE.

Summary:
- DFT formation energy (meV/atom) = 326
- symmetry = F-43m, No. 216
- final energy (eV per atom) = -7.31

Unit cell a=4.9945 b=4.9945 c=4.9945 alpha=60.00 beta=60.00 gamma=60.00
With the nearest neighbours (Å) after each atom.
Element x y z (fractional)
La (0.0000, 0.0000, 0.0000)  12 Co 2.93, 4 Re 3.06
Co (0.3766, 0.3766, 0.3766)  6 Co 2.47-2.53
Co (0.3766, 0.3766, 0.8703)  6 Co 2.47-2.53
Co (0.3766, 0.8703, 0.3766)  6 Co 2.47-2.53
Co (0.8703, 0.3766, 0.3766)  6 Co 2.47-2.53
Re (0.7500, 0.7500, 0.7500)  12 Co 2.93, 4 La 3.06